MgTl2Cu | PBE | optimized geometry Values from VASP.

Quantum ESPRESSO input file:
```
&SYSTEM
  ibrav = 0, nat = 4, ntyp = 3
/
ATOMIC_SPECIES
Cu 63.55 Cu.upf
Tl 204.38 Tl.upf
Mg 24.30 Mg.upf
CELL_PARAMETERS angstrom
0.000 3.549 3.549
3.549 0.000 3.549
3.549 3.549 0.000
ATOMIC_POSITIONS crystal
Cu 0.500 0.500 0.500
Tl 0.250 0.250 0.250
Tl 0.750 0.750 0.750
Mg 0.000 0.000 0.000
```

Computed properties:
- energy relative to the elements (eV per atom) = 0.1777
- energy (eV per cell) = -9.713
- mass density (Mg/m³) = 9.221


Mg6Tl2Cu | PBE | optimized geometry Values from VASP.

Quantum ESPRESSO input file:
```
&SYSTEM
  ibrav = 0, nat = 9, ntyp = 3
/
ATOMIC_SPECIES
Mg 24.30 Mg.upf
Tl 204.38 Tl.upf
Cu 63.55 Cu.upf
CELL_PARAMETERS angstrom
-2.771 -0.564 -2.275
5.116 -0.862 -6.019
-2.217 -6.326 4.268
ATOMIC_POSITIONS crystal
Mg 0.000 0.752 0.752
Mg 0.500 0.368 0.368
Mg 0.000 0.248 0.000
Mg 0.500 0.000 0.632
Mg 0.500 0.632 0.000
Mg 0.000 0.000 0.248
Tl 0.000 0.333 0.667
Tl 0.000 0.667 0.333
Cu 0.500 0.000 0.000
```

Computed properties:
- energy relative to the elements (eV per atom) = -0.0613
- energy (eV per cell) = -18.948
- mass density (Mg/m³) = 5.171